# 1
# TlCo2Mo

TlCo2Mo after structural relaxation (PBE, Alexandria).

## Properties
excess energy over the best structure of this formula in the dataset: 1.74 eV/f.u.

a = 6.854 Å, b = 6.854 Å, c = 5.590 Å
α = 90.00°, β = 90.00°, γ = 90.00°
Space group I-42d (No. 122)
Symmetry-distinct sites (fractional):
Tl 0.000 0.000 0.000 x4
Co 0.204 0.250 0.625 x8
Mo 0.000 0.000 0.500 x4

# 2
# TlCo2Mo

TlCo2Mo after structural relaxation (PBE, Alexandria).

## Properties
excess energy over the best structure of this formula in the dataset: 1.31 eV/f.u.

a = 4.643 Å, b = 2.852 Å, c = 4.952 Å
α = 90.00°, β = 111.20°, γ = 90.00°
Space group P2/m (No. 10)
Symmetry-distinct sites (fractional):
Tl 0.000 0.000 0.000 x1
Co 0.500 0.000 0.500 x1
Co 0.500 0.500 0.000 x1
Mo 0.000 0.500 0.500 x1